The following is a PBE with a Hubbard U calculation of crystalline CsTl2CrF8 at its relaxed geometry, from Alexandria.

Space-group type   No. 2
Final energy   -4.57 eV/atom

Geometry as POSCAR:
```
CsTl2CrF8
1.0
5.5258 0.0000 0.0000
0.7162 5.5710 0.0000
2.6749 0.0686 6.9825
Cs Tl Cr F
1 2 1 8
direct
0.0000 0.0000 0.0000 Cs
0.3539 0.5263 0.2799 Tl
0.6461 0.4737 0.7201 Tl
0.5000 0.0000 0.5000 Cr
0.1852 0.2316 0.5650 F
0.2713 0.4806 0.0031 F
0.3105 0.7270 0.6095 F
0.4499 0.9471 0.2613 F
0.5501 0.0529 0.7387 F
0.6895 0.2730 0.3905 F
0.7287 0.5194 0.9969 F
0.8148 0.7684 0.4350 F
```